Record 1
Entry from Alexandria via LeMat-Bulk: Y2SiP after structural relaxation (PBE-GGA).

Structure (POSCAR):
```
Y2SiP
1.0
-1.7796 -4.7222 2.4931
1.9901 -3.8342 3.6083
-1.4198 1.8637 3.3153
P Si Y
1 1 2
Cartesian
-0.8422 -2.7314 5.0218
-0.0704 -2.2846 2.0572
-0.1869 0.1519 0.5109
-0.7144 -5.1750 6.5353
```

Results
The uncorrected formation energy is -1.02 eV/atom. Its energy above the lowest structure with this stoichiometry is 208.8 meV/atom. The calculation puts the magnetic moment at 0.0 μB/cell.



Record 2
Entry from Alexandria via LeMat-Bulk: CaTb5Cd3 after structural relaxation (PBE-GGA).

Structure (POSCAR):
```
CaTb5Cd3
1.0
6.9598 0.0000 0.0000
0.0000 9.2574 0.0000
0.0000 -4.6287 8.0172
Ca Tb Cd
2 10 6
Cartesian
0.0000 0.0000 0.0000
3.4799 0.0000 0.0000
0.0000 4.6287 2.6723
3.4799 0.0000 5.3449
0.0000 0.0000 5.3449
3.4799 4.6287 2.6723
5.2199 3.0841 5.3419
5.2199 7.7127 2.6754
5.2199 3.0892 0.0000
1.7400 1.5446 2.6754
1.7400 -3.0841 5.3419
1.7400 6.1682 0.0000
5.2199 1.5562 2.6950
5.2199 -3.0725 5.3222
5.2199 6.1450 0.0000
1.7400 3.0725 5.3222
1.7400 7.7012 2.6950
1.7400 3.1124 0.0000
```

Results
Its formation energy from the elements is -0.180 eV per atom. The calculation puts the magnetic moment at 0.0 μB/cell.



Record 3
Entry from Alexandria via LeMat-Bulk: Nd2ThTaN4 after structural relaxation (PBE-GGA).

Structure (POSCAR):
```
Nd2ThTaN4
1.0
-2.9157 -1.8281 0.1170
2.9994 -4.9097 -1.9676
0.2101 0.0545 6.0892
Nd Th Ta N
2 1 1 4
Cartesian
-1.3528 -0.8868 3.1031
1.6048 -2.4276 2.0608
0.0419 -3.3689 -0.9253
0.0000 0.0000 0.0000
-0.7832 -1.9374 0.8830
1.0770 -4.7460 3.3556
0.8414 -1.0643 4.3403
2.3681 -3.7909 -0.2187
```

Results
The uncorrected formation energy is -1.31 eV/atom. The calculation puts the magnetic moment at 0.0 μB/cell.



Record 4
Entry from Alexandria via LeMat-Bulk: CdSi2Hg after structural relaxation (PBE-GGA).

Structure (POSCAR):
```
CdSi2Hg
1.0
5.0882 -0.2002 0.0000
1.3542 4.9088 0.0000
-3.2212 -2.3543 3.1640
Cd Hg Si
1 1 2
Cartesian
3.2212 2.3543 0.0000
2.5441 -0.1001 1.5820
0.0000 0.0000 0.0000
0.6771 2.4544 1.5820
```

Results
The uncorrected formation energy is 0.54 eV/atom. Its energy above the lowest structure with this stoichiometry is 321.4 meV/atom. The calculation puts the magnetic moment at 0.0 μB/cell.



Record 5
Entry from Alexandria via LeMat-Bulk: Nb3Re2Mo3 after structural relaxation (PBE-GGA).

Structure (POSCAR):
```
Nb3Re2Mo3
1.0
-0.1439 -3.0535 -0.9945
2.4626 1.9434 -6.3233
4.4911 -1.8766 5.1121
Nb Re Mo
3 2 3
Cartesian
2.8090 -1.4991 -0.9990
1.3704 -0.3885 -4.2009
2.5585 -2.6259 2.4969
3.8149 -0.6033 1.3003
3.1388 0.6701 -2.5115
5.5159 0.0530 -0.9607
0.5092 0.4019 -1.3075
0.9287 -0.3880 1.0571
```

Results
Its formation energy from the elements is 0.320 eV per atom. The calculation puts the magnetic moment at 0.0 μB/cell.



Record 6
Entry from Alexandria via LeMat-Bulk: TaTcAu4 after structural relaxation (PBE-GGA).

Structure (POSCAR):
```
TaTcAu4
1.0
0.0000 3.7853 3.7853
3.7853 0.0000 3.7853
3.7853 3.7853 0.0000
Ta Tc Au
1 1 4
Cartesian
5.6780 5.6780 5.6780
0.0000 0.0000 0.0000
2.8387 4.7320 4.7320
4.7320 4.7320 2.8387
4.7320 2.8387 4.7320
2.8387 2.8387 2.8387
```

Results
Its formation energy from the elements is 0.559 eV per atom. The calculation puts the magnetic moment at 0.9 μB/cell.



Record 7
Entry from Alexandria via LeMat-Bulk: Na2LiSe2 after structural relaxation (PBE-GGA).

Structure (POSCAR):
```
Na2LiSe2
1.0
3.8359 0.0041 1.6321
1.3903 5.1344 2.0453
-0.1569 0.1727 5.6940
Na Li Se
2 1 2
Cartesian
1.3424 1.1011 4.8294
3.7269 4.2101 4.5419
2.6131 2.5692 1.8387
4.1446 1.3323 3.5659
0.9247 3.9789 5.8055
```

Results
The uncorrected formation energy is -0.94 eV/atom. Its energy above the lowest structure with this stoichiometry is 0.0 meV/atom. The calculation puts the magnetic moment at 0.0 μB/cell.



Record 8
Entry from Alexandria via LeMat-Bulk: NdUNi17 after structural relaxation (PBE-GGA).

Structure (POSCAR):
```
NdUNi17
1.0
6.2078 0.0146 0.7487
0.6655 6.1721 0.7487
0.0162 0.0146 6.2528
Nd U Ni
1 1 17
Cartesian
4.5534 4.0985 5.1222
2.2996 2.0699 2.5869
1.8436 0.0384 4.6121
4.5532 1.8294 0.7703
0.4959 4.3362 2.3712
2.2968 4.3362 0.7703
0.2315 1.8294 4.6121
4.3643 0.0384 2.3712
2.7089 5.2605 3.0473
2.3801 2.1423 5.8346
5.5156 2.1423 3.0473
4.1486 1.0039 4.6668
4.4668 4.0205 1.9704
1.4334 4.0205 4.6668
6.5500 3.1218 7.3682
6.8732 6.1865 4.6287
3.7915 6.1865 7.3682
6.2304 5.6079 7.0087
0.7139 0.6426 0.8031
```

Results
Its formation energy from the elements is -0.145 eV per atom. The calculation puts the magnetic moment at 4.5 μB/cell.



Record 9
Entry from Alexandria via LeMat-Bulk: MgTiSi4O10 after structural relaxation (PBE-GGA).

Structure (POSCAR):
```
MgTiSi4O10
1.0
-0.7305 7.2442 0.8075
-6.4128 -0.2529 -3.5322
-7.1192 -2.1761 13.0810
Mg Ti Si O
4 4 16 40
Cartesian
-7.1313 2.4076 5.1782
-3.5596 -1.0881 6.5405
0.0000 0.0000 0.0000
-3.5717 3.4956 -1.3623
-4.4279 2.3803 7.8685
-9.8226 -2.1488 10.3906
-6.2630 -1.0608 3.8501
-0.8683 3.4683 1.3280
-6.2475 -0.3276 7.7375
-10.0979 4.5061 6.4460
-7.2607 -0.1674 10.8048
-7.3387 3.8591 7.8401
-9.0067 0.3193 6.3434
-11.0661 0.4383 8.8345
-8.2327 2.8375 10.7756
-12.0381 3.4432 8.8053
-4.4434 1.6471 3.9812
-7.7362 3.8047 2.5480
-3.4302 1.4869 0.9139
-4.0826 4.7046 4.6861
-8.0970 0.7473 1.8430
-6.0376 0.6283 -0.6480
-3.1887 5.7263 1.7506
-5.7960 4.8676 0.1887
-4.8250 0.3811 7.4041
-10.5128 4.1054 4.9281
-8.1110 -1.4360 11.3564
-6.2672 2.9346 7.0440
-9.0706 1.5519 5.2882
-10.5471 -0.1938 10.2373
-9.7593 3.1616 11.2242
-12.1954 4.4038 10.1050
-5.8658 0.9385 4.3146
-7.3214 4.2054 4.0659
-2.5799 2.7556 0.3622
-5.1541 5.6292 5.4822
-8.0330 -0.4853 2.8982
-6.5566 1.2604 -2.0508
-1.6621 5.4021 1.3020
-3.2392 0.9887 4.8641
-5.6388 3.9070 -1.1110
-8.6166 3.9324 6.8196
-8.1345 1.2079 10.8951
-6.7555 5.3657 8.0710
-9.3127 -1.1025 5.6032
-12.4130 -0.3208 8.3123
-7.1630 3.5118 11.8071
-11.4415 1.9831 9.2243
-6.6861 4.2578 1.3989
-3.5720 5.2994 3.2670
-7.1309 0.6038 0.5489
-4.0168 1.6454 2.4170
-11.1481 4.0530 7.5951
-7.8494 3.2643 9.2592
-9.9727 0.4628 7.6376
-6.6740 -0.3258 9.3017
-6.3926 6.3277 -0.2303
-4.2584 5.0519 0.7190
-4.6906 1.3874 -0.1258
-7.7909 2.1691 2.5832
-4.6659 3.1980 4.4552
-2.5564 0.1117 0.8235
-9.2176 4.3784 2.1743
-7.4516 0.3308 6.8545
```

Results
The uncorrected formation energy is -2.62 eV/atom. The calculation puts the magnetic moment at 8.0 μB/cell.



Record 10
Entry from Alexandria via LeMat-Bulk: GeCBr2 after structural relaxation (PBE-GGA).

Structure (POSCAR):
```
GeCBr2
1.0
0.3884 -8.8483 -0.5413
3.3534 -8.1494 1.0386
0.4541 -8.3880 2.8586
Ge C Br
1 1 2
Cartesian
0.0000 0.0000 0.0000
2.0979 -12.6928 1.6780
3.7353 -22.5993 2.9876
0.4605 -2.7864 0.3684
```

Results
The uncorrected formation energy is 1.42 eV/atom. Its energy above the lowest structure with this stoichiometry is 0.0 meV/atom. The calculation puts the magnetic moment at 0.0 μB/cell.



Record 11
Entry from Alexandria via LeMat-Bulk: Pm6TlNi2I3 after structural relaxation (PBE-GGA).

Structure (POSCAR):
```
Pm6TlNi2I3
1.0
4.1177 0.0000 0.0000
0.0000 9.5426 -0.0559
-2.0588 -3.1772 9.4959
Pm Tl Ni I
6 1 2 3
Cartesian
0.0000 6.0060 6.3038
2.0588 4.1379 3.4049
2.0588 0.3594 3.1362
0.0000 2.3004 0.4572
2.0588 4.0651 8.9828
0.0000 2.2275 6.0351
2.0588 0.0000 0.0000
2.0588 4.1156 6.2059
0.0000 2.2498 3.2341
2.0588 4.7713 -0.0280
2.0588 -0.6133 6.4184
0.0000 6.9787 3.0216
```

Results
The uncorrected formation energy is -0.62 eV/atom. The calculation puts the magnetic moment at 0.0 μB/cell.



| no. | calculated volume (Å³/cell) |
| --- | --- |
| 1 | 85.6 |
| 2 | 516.5 |
| 3 | 121.1 |
| 4 | 79.9 |
| 5 | 138.7 |
| 6 | 108.5 |
| 7 | 112.5 |
| 8 | 239.4 |
| 9 | 807.7 |
| 10 | 88.2 |
| 11 | 372.4 |